# 1
Computed, not measured: crystalline Pm6AsP5 at its relaxed geometry at the PBE-GGA level of DFT.

Lattice parameters (Å, degrees): 7.1870 7.1870 7.1876 99.58 99.58 119.99
Last column: nearest neighbours and their distance in Å.
Fractional positions:
Pm 0.0785 0.4159 0.7478  5 P 2.91-2.94, 1 As 2.97
Pm 0.2467 0.2467 0.2522  5 P 2.90-2.93, 1 As 2.97
Pm 0.4159 0.0785 0.7478  5 P 2.91-2.94, 1 As 2.97
Pm 0.5841 0.9215 0.2522  5 P 2.91-2.94, 1 As 2.97
Pm 0.7533 0.7533 0.7478  5 P 2.90-2.93, 1 As 2.97
Pm 0.9215 0.5841 0.2522  5 P 2.91-2.94, 1 As 2.97
As 0.5000 0.5000 0.0000  6 Pm 2.97
P 0.0000 0.0000 0.5000  6 Pm 2.90-2.94
P 0.1667 0.8333 0.0000  6 Pm 2.93
P 0.3341 0.6659 0.5000  6 Pm 2.91-2.94
P 0.6659 0.3341 0.5000  6 Pm 2.91-2.94
P 0.8333 0.1667 0.0000  6 Pm 2.93

- D(E_F) (states/eV per atom) = 0.120
- total energy (eV/atom) = -6.5722
- space-group type = C2/m
- M_tot (μB per formula unit) = 0.00


# 2
Computed, not measured: crystalline La3CdO at its relaxed geometry at the PBE-GGA level of DFT.

Lattice parameters (Å, degrees): 11.1695 7.1453 7.1453 31.04 90.00 90.00
Last column: nearest neighbours and their distance in Å.
Fractional positions:
La 0.0000 0.0000 0.0000  2 Cd 3.38
La 0.2038 0.3229 0.3229  1 O 2.32
La 0.2858 0.5841 0.5841  1 O 2.31
La 0.5000 0.9013 0.9013  4 O 2.47
La 0.7142 0.5841 0.5841  1 O 2.31
La 0.7962 0.3229 0.3229  1 O 2.32
Cd 0.0000 0.7022 0.7022  8 La 3.38-3.58
Cd 0.5000 0.1816 0.1816  6 La 3.34-3.58, 2 O 3.72
O 0.3649 0.4289 0.4289  4 La 2.31-2.47
O 0.6351 0.4289 0.4289  4 La 2.31-2.47

- D(E_F) (states/eV per atom) = 0.989
- total energy (eV/atom) = -5.3668
- raw formation energy (meV/atom) = -1235.6
- space-group type = Amm2
- M_tot (μB per formula unit) = 0.00


# 3
Computed, not measured: crystalline Nd2TlAg3 at its relaxed geometry at the PBE-GGA level of DFT.

Lattice parameters (Å, degrees): 9.7250 9.7250 9.7250 155.43 155.32 35.10
Last column: nearest neighbours and their distance in Å.
Fractional positions:
Nd 0.0000 0.0000 0.0000  4 Ag 3.18, 4 Tl 3.41
Nd 0.7280 0.2280 0.5000  8 Ag 3.20-3.27
Tl 0.4064 0.4064 0.0000  3 Ag 2.78-2.96
Ag 0.1587 0.6587 0.5000  3 Ag 2.70-2.74
Ag 0.3063 0.8063 0.5000  1 Ag 2.74, 2 Tl 2.78
Ag 0.5659 0.5659 0.0000  2 Ag 2.70, 1 Tl 2.96

- D(E_F) (states/eV per atom) = 0.737
- total energy (eV/atom) = -3.5797
- space-group type = Imm2
- M_tot (μB per formula unit) = 0.00


# 4
Computed, not measured: crystalline SiTcNiI2 at its relaxed geometry at the PBE-GGA level of DFT.

Lattice parameters (Å, degrees): 5.5279 5.5279 4.6290 90.00 90.00 90.00
Last column: nearest neighbours and their distance in Å.
Fractional positions:
Si 0.0000 0.0000 0.0000  2 Tc 2.31
Tc 0.0000 0.0000 0.5000  2 Si 2.31
Ni 0.5000 0.5000 0.5000  8 I 3.61, 4 Tc 3.91
I 0.0000 0.5000 0.0000  2 Si 2.76
I 0.5000 0.0000 0.0000  2 Si 2.76

- D(E_F) (states/eV per atom) = 1.678
- total energy (eV/atom) = -3.4970
- raw formation energy (meV/atom) = 1437.2
- space-group type = P4/mmm
- M_tot (μB per formula unit) = 2.95